First-principles (PBE) data for crystalline PrDy3Sc2 at its relaxed geometry, as listed in the Alexandria database.

```
PrDy3Sc2
1.0
-0.2862 -2.6890 -2.0701
4.0118 -5.8130 6.9963
-11.1206 1.3850 2.5397
Sc Dy Pr
4 6 2
direct
0.0691 0.1427 0.1382
0.6919 0.3750 0.3839
0.3081 0.6250 0.6161
0.9309 0.8573 0.8618
0.3027 0.2920 0.6055
0.4396 0.5624 0.8791
0.0662 0.7681 0.1323
0.9338 0.2319 0.8677
0.5604 0.4376 0.1209
0.6973 0.7080 0.3945
0.6814 0.0461 0.3628
0.3186 0.9539 0.6372
```

## Properties
The energy of formation from the pure elements is 0.155 eV per atom. The calculation puts the density of states at the Fermi level at 9.85 states/eV/f.u. The calculation puts the size of the total moment at 0.0001 μB/atom. The calculated volume comes out at 30.494 Å³/atom.

***

First-principles (PBE) data for crystalline PrDy3Sc3 at its relaxed geometry, as listed in the Alexandria database.

```
PrDy3Sc3
1.0
-4.5758 -4.3809 1.3475
1.2948 -0.1357 -6.4208
5.4262 -1.4370 3.3782
Dy Sc Pr
3 3 1
direct
0.5506 0.5442 0.5442
0.0064 0.0000 0.4558
0.0064 0.4558 0.0000
0.5065 0.5113 0.0000
0.5065 0.0000 0.5113
0.9951 0.4887 0.4887
0.4035 0.0000 0.0000
```

## Properties
The energy of formation from the pure elements is 0.266 eV per atom. The calculation puts the density of states at the Fermi level at 11.76 states/eV/f.u. The calculation puts the size of the total moment at 0.0000 μB/atom. The calculated volume comes out at 30.657 Å³/atom.

***

First-principles (PBE) data for crystalline Pr7Dy3Sc at its relaxed geometry, as listed in the Alexandria database.

```
Pr7Dy3Sc
1.0
9.4546 -2.3039 1.8715
-5.4197 8.0821 -1.8721
2.2230 -1.5531 12.5332
Dy Pr Sc
6 14 2
direct
0.6949 0.3279 0.2268
0.3049 0.6723 0.7711
0.3274 0.6948 0.2711
0.0035 0.0014 0.0006
0.6724 0.3053 0.7268
0.9988 0.9967 0.5006
0.1597 0.9014 0.2238
0.5714 0.9004 0.5261
0.3832 0.3846 0.7547
0.9009 0.5712 0.9739
0.5743 0.9102 0.0309
0.8937 0.1572 0.2730
0.0898 0.4257 0.5308
0.0996 0.4285 0.0260
0.4289 0.0991 0.4738
0.4293 0.0886 0.9645
0.8425 0.1058 0.7730
0.6152 0.6167 0.2548
0.9114 0.5708 0.4646
0.0988 0.8404 0.7238
0.4994 0.5002 0.0045
0.5000 0.5008 0.5046
```

## Properties
The energy of formation from the pure elements is 0.193 eV per atom. The calculation puts the density of states at the Fermi level at 16.35 states/eV/f.u. The calculation puts the size of the total moment at 0.0000 μB/atom. The calculated volume comes out at 34.792 Å³/atom.

***

The records above give, respectively, electronic total energy values of -5.0536, -5.1023, -4.6796 eV/atom.